The following is a GGA-PBE calculation of an optimized crystal structure of Ac2MnSe4, from Alexandria.

density of states at the Fermi level: 0.76 states/eV/f.u.

a b c (Å): 7.087 6.933 8.649
angles (deg): 90.00 107.93 90.00
Atoms (fractional coordinates):
Ac 0.229 0.250 0.057
Ac 0.252 0.250 0.564
Ac 0.748 0.750 0.436
Ac 0.771 0.750 0.943
Mn 0.239 0.750 0.808
Mn 0.761 0.250 0.192
Se 0.012 0.510 0.258
Se 0.012 0.990 0.258
Se 0.427 0.750 0.100
Se 0.430 0.750 0.613
Se 0.570 0.250 0.387
Se 0.573 0.250 0.900
Se 0.988 0.010 0.742
Se 0.988 0.490 0.742


The following is a GGA-PBE calculation of an optimized crystal structure of Cr2TeSe, from Alexandria.

density of states at the Fermi level: 3.72 states/eV/f.u.

a b c (Å): 3.508 3.508 6.783
angles (deg): 90.00 90.00 90.00
Atoms (fractional coordinates):
Cr 0.000 0.000 0.000
Cr 0.500 0.500 0.246
Te 0.500 0.500 0.842
Se 0.000 0.000 0.361


Number 1: E -6.016 eV/atom, ρ 6.774 g/cm3, total magnetization 9.9 μB/cell. Number 2: E -6.541 eV/atom, ρ 6.177 g/cm3, total magnetization 5.7 μB/cell.